# Mg6CrCuO8 | Alexandria via LeMat-Bulk | PBE with a Hubbard U | optimized geometry
# total energy: -6.111 eV/atom
# calculated density: 4.1 Mg/m³
# space-group type: No. 123
# energy above the lowest structure with this stoichiometry: 0 meV/atom
data_Mg6CrCuO8
_space_group_name_H-M_alt 'P 1'
_space_group_IT_number 1
_space_group_name_Hall 'P 1'
_cell_length_a 4.233
_cell_length_b 4.233
_cell_length_c 8.740
_cell_angle_alpha 90.00
_cell_angle_beta 90.00
_cell_angle_gamma 90.00
loop_
_atom_site_label
_atom_site_type_symbol
_atom_site_fract_x
_atom_site_fract_y
_atom_site_fract_z
Mg1 Mg 0.500 0.500 0.000
Mg2 Mg 0.500 0.500 0.500
Mg3 Mg 0.000 0.500 0.243
Mg4 Mg 0.000 0.500 0.757
Mg5 Mg 0.500 0.000 0.243
Mg6 Mg 0.500 0.000 0.757
Cr1 Cr 0.000 0.000 0.500
Cu1 Cu 0.000 0.000 0.000
O1 O 0.000 0.000 0.270
O2 O 0.000 0.000 0.730
O3 O 0.500 0.500 0.250
O4 O 0.500 0.500 0.750
O5 O 0.000 0.500 0.000
O6 O 0.000 0.500 0.500
O7 O 0.500 0.000 0.000
O8 O 0.500 0.000 0.500